Record 1
! MgCdCu, optimized geometry, DFT PBE; values from VASP
&SYSTEM
  ibrav = 0, nat = 12, ntyp = 3
/
ATOMIC_SPECIES
Cd 112.41 Cd.upf
Mg 24.30 Mg.upf
Cu 63.55 Cu.upf
CELL_PARAMETERS angstrom
0.000 4.438 9.210
2.657 0.000 9.210
2.657 4.438 0.000
ATOMIC_POSITIONS crystal
Cd 0.330 0.670 0.330
Cd 0.580 0.920 0.580
Cd 0.920 0.580 0.920
Cd 0.670 0.330 0.670
Mg 0.916 0.916 0.084
Mg 0.334 0.334 0.166
Mg 0.084 0.084 0.916
Mg 0.166 0.166 0.334
Cu 0.626 0.626 0.374
Cu 0.876 0.876 0.624
Cu 0.624 0.624 0.876
Cu 0.374 0.374 0.626
! Calculated density in Mg/m³: 6.1
! E above lowest polymorph in meV per atom: 9.1
! Space group: Fddd



Record 2
! BaMgZnBi2, optimized geometry, DFT PBE; values from VASP
&SYSTEM
  ibrav = 0, nat = 5, ntyp = 4
/
ATOMIC_SPECIES
Bi 208.98 Bi.upf
Zn 65.41 Zn.upf
Ba 137.33 Ba.upf
Mg 24.30 Mg.upf
CELL_PARAMETERS angstrom
4.840 0.000 0.000
-2.420 4.191 0.000
0.000 0.000 8.272
ATOMIC_POSITIONS crystal
Bi 0.667 0.333 0.731
Bi 0.333 0.667 0.270
Zn 0.667 0.333 0.376
Ba 0.000 0.000 0.002
Mg 0.333 0.667 0.623
! Calculated density in Mg/m³: 6.4
! Space group: P3m1
! Total energy in eV/cell: -15.24



Record 3
! K2LiZrF6, optimized geometry, DFT PBE; values from VASP
&SYSTEM
  ibrav = 0, nat = 20, ntyp = 4
/
ATOMIC_SPECIES
F 19.00 F.upf
K 39.10 K.upf
Li 6.94 Li.upf
Zr 91.22 Zr.upf
CELL_PARAMETERS angstrom
-9.458 -3.653 0.423
-6.168 -7.191 3.638
-8.017 -2.149 5.840
ATOMIC_POSITIONS crystal
F 0.114 0.632 0.632
F 0.787 0.292 0.787
F 0.368 0.886 0.368
F 0.213 0.213 0.708
F 0.708 0.213 0.213
F 0.213 0.708 0.213
F 0.886 0.368 0.368
F 0.632 0.114 0.632
F 0.787 0.787 0.292
F 0.368 0.368 0.886
F 0.292 0.787 0.787
F 0.632 0.632 0.114
K 0.127 0.127 0.127
K 0.720 0.720 0.720
K 0.873 0.873 0.873
K 0.280 0.280 0.280
Li 0.595 0.595 0.595
Li 0.405 0.405 0.405
Zr 0.500 0.500 0.500
Zr 0.000 0.000 0.000
! Calculated density in Mg/m³: 3.5
! E above lowest polymorph in meV per atom: 40.1
! Space group: R-3m



Record 4
! BeIr2Pb, optimized geometry, DFT PBE; values from VASP
&SYSTEM
  ibrav = 0, nat = 4, ntyp = 3
/
ATOMIC_SPECIES
Ir 192.22 Ir.upf
Be 9.01 Be.upf
Pb 207.20 Pb.upf
CELL_PARAMETERS angstrom
0.000 3.172 3.172
3.172 0.000 3.172
3.172 3.172 0.000
ATOMIC_POSITIONS crystal
Ir 0.750 0.750 0.750
Ir 0.000 0.000 0.000
Be 0.250 0.250 0.250
Pb 0.500 0.500 0.500
! Calculated density in Mg/m³: 15.6
! Space group: F-43m
! Total energy in eV/cell: -22.80